AcCoBi: optimized geometry, PBE.

Output
Volume in Å³/cell: 83
E in eV per atom: -5.34

POSCAR file:
```
AcCoBi
1.0
0.000 3.459 3.459
3.459 0.000 3.459
3.459 3.459 0.000
Ac Co Bi
1 1 1
Cartesian
0.000 0.000 0.000
1.729 1.729 1.729
3.459 3.459 3.459
```